An optimized crystal structure of RbCdSn2Mo, computed with PBE.

## Properties
- E_tot: -2.186 eV per atom
- M_tot: 3.9 μB/f.u.
- D(E_F): 5.3 states/eV/cell
- Space-group type: P4/mmm, No. 123
- Energy relative to the elements: 1.957 eV/atom

Cell: 6.015 6.015 5.893 Å, 90.00 90.00 90.00°
Fractional positions:
Rb: 0.000 0.000 0.000
Cd: 0.000 0.000 0.500
Sn: 0.000 0.500 0.000
Sn: 0.500 0.000 0.000
Mo: 0.500 0.500 0.500